# 1
A relaxed Ac2CdIn4Ag3 crystal, computed with PBE.

Unit cell a=4.705 b=4.705 c=11.913 alpha=90.00 beta=90.00 gamma=90.00
Element x y z (fractional)
1 Cd 0.500 0.500 0.500
2 Ag 0.000 0.000 0.500
3 Ag 0.000 0.500 0.135
4 In 0.000 0.500 0.363
5 In 0.000 0.000 0.000
6 Ac 0.000 0.500 0.750
7 In 0.500 0.500 0.000
8 Ac 0.500 0.000 0.250
9 In 0.500 0.000 0.637
10 Ag 0.500 0.000 0.865

## Properties
- space group = No. 115
- ΔH_f (0 K) (meV/atom) = -330
- ρ (g cm⁻³) = 8.5


# 2
A relaxed Ac3CdIn2Ag6 crystal, computed with PBE.

Unit cell a=6.353 b=6.353 c=9.249 alpha=90.00 beta=90.00 gamma=120.00
Element x y z (fractional)
1 Ac 0.000 0.000 0.000
2 Ac 0.667 0.333 0.382
3 Cd 0.000 0.000 0.500
4 Ag 0.818 0.182 0.724
5 In 0.333 0.667 0.004
6 Ac 0.333 0.667 0.618
7 Ag 0.182 0.364 0.276
8 Ag 0.182 0.818 0.276
9 Ag 0.364 0.182 0.724
10 Ag 0.636 0.818 0.276
11 In 0.667 0.333 0.996
12 Ag 0.818 0.636 0.724

## Properties
- space group = No. 164
- ΔH_f (0 K) (meV/atom) = -174
- ρ (g cm⁻³) = 8.6